# KCdGeBr5 (PBE, relaxed)
# Total energy: -2.83 eV per atom
# E_form (uncorrected): -958 meV per atom
data_KCdGeBr5
_space_group_name_H-M_alt 'C 1 2/c 1'
_space_group_IT_number 15
_space_group_name_Hall '-C 2yc'
_cell_length_a 9.494
_cell_length_b 12.665
_cell_length_c 10.419
_cell_angle_alpha 90.00
_cell_angle_beta 113.30
_cell_angle_gamma 90.00
loop_
_atom_site_label
_atom_site_type_symbol
_atom_site_fract_x
_atom_site_fract_y
_atom_site_fract_z
K1 K 0.000 0.162 0.250
Cd1 Cd 0.000 0.184 0.750
Ge1 Ge 0.000 0.500 0.000
Br1 Br 0.000 0.425 0.250
Br2 Br 0.118 0.294 0.602
Br3 Br 0.188 0.056 0.944